Computed, not measured: crystalline InNiAu2 at its relaxed geometry at the GGA-PBEsol level of DFT.

Cell and atoms, written as extended XYZ:
```
4
Lattice="-1.543 -0.440 3.678 0.815 -3.916 -0.127 3.603 0.698 1.595" Properties=species:S:1:pos:R:3 pbc="T T T"
Ni -0.772 -0.220 1.839
Au 0.407 -1.958 -0.064
Au 1.802 0.349 0.798
In 1.437 -1.829 2.573
```

## Properties
Its formation energy is -0.09 eV per atom. Its total energy is -4.34 eV/atom.

Computed, not measured: crystalline HAuSe at its relaxed geometry at the GGA-PBEsol level of DFT.

Cell and atoms, written as extended XYZ:
```
6
Lattice="3.700 0.010 -0.013 0.006 6.163 -0.096 -1.818 -2.579 5.322" Properties=species:S:1:pos:R:3 pbc="T T T"
H 1.939 2.926 0.286
Se -0.897 3.839 3.871
Se 2.785 -0.245 1.341
Au -0.906 1.792 2.613
H -0.051 0.669 4.927
Au 0.941 -1.284 2.654
```

## Properties
Its total energy is -3.69 eV/atom.